# CoSbBr PBE relaxed
# Energy above the lowest structure with this stoichiometry in meV/atom: 0
# ΔE_f (raw) in meV/atom: 5.1
data_CoSbBr
_cell_length_a 3.6994
_cell_length_b 3.6994
_cell_length_c 5.5828
_cell_angle_alpha 90.00
_cell_angle_beta 90.00
_cell_angle_gamma 120.00
_symmetry_space_group_name_H-M 'P 3 m 1'
_symmetry_Int_Tables_number 156
loop_
_symmetry_equiv_pos_as_xyz
'x,y,z'
'-y,x-y,z'
'-x+y,-x,z'
'-y,-x,z'
'-x+y,y,z'
'x,x-y,z'
loop_
_atom_site_label
_atom_site_fract_x
_atom_site_fract_y
_atom_site_fract_z
Co1 0.0000 0.0000 0.0000
Sb1 0.6667 0.3333 0.2297
Br1 0.3333 0.6667 0.7414

---

# MgScTc2O PBE relaxed
# ΔE_f (raw) in meV/atom: 716.9
data_MgScTc2O
_cell_length_a 5.177
_cell_length_b 5.177
_cell_length_c 3.833
_cell_angle_alpha 90.00
_cell_angle_beta 90.00
_cell_angle_gamma 90.00
_symmetry_space_group_name_H-M 'P 4/m m m'
_symmetry_Int_Tables_number 123
_symmetry_space_group_name_Hall '-P 4 2'
loop_
_atom_site_label
_atom_site_fract_x
_atom_site_fract_y
_atom_site_fract_z
Mg1 0.000 0.000 0.000
Sc1 0.500 0.500 0.500
Tc1 0.000 0.500 0.500
O1 0.500 0.500 0.000

---

# Pa2ZnP PBE relaxed
# ΔE_f in meV/atom: -434.5
# Energy above the lowest structure with this stoichiometry in meV/atom: 0
data_Pa2ZnP
_cell_length_a 3.326
_cell_length_b 3.326
_cell_length_c 7.478
_cell_angle_alpha 90.00
_cell_angle_beta 90.00
_cell_angle_gamma 90.00
_symmetry_space_group_name_H-M 'P 4/m m m'
_symmetry_Int_Tables_number 123
_symmetry_space_group_name_Hall '-P 4 2'
loop_
_atom_site_label
_atom_site_fract_x
_atom_site_fract_y
_atom_site_fract_z
Pa1 0.000 0.000 0.226
Zn1 0.500 0.500 0.500
P1 0.500 0.500 0.000

---

# Zr3PtSe PBE relaxed
# Energy above the lowest structure with this stoichiometry in meV/atom: 0
# ΔE_f (raw) in meV/atom: -63.3
data_Zr3PtSe
_cell_length_a 4.894
_cell_length_b 4.894
_cell_length_c 4.894
_cell_angle_alpha 90.00
_cell_angle_beta 90.00
_cell_angle_gamma 90.00
_symmetry_space_group_name_H-M 'P m -3 m'
_symmetry_Int_Tables_number 221
_symmetry_space_group_name_Hall '-P 4 2 3'
loop_
_atom_site_label
_atom_site_fract_x
_atom_site_fract_y
_atom_site_fract_z
Zr1 0.000 0.000 0.500
Pt1 0.500 0.500 0.500
Se1 0.000 0.000 0.000

---

# Nd4GaRhBr2 PBE relaxed
# ΔE_f (raw) in meV/atom: -943.8
data_Nd4GaRhBr2
_cell_length_a 7.622
_cell_length_b 4.074
_cell_length_c 8.007
_cell_angle_alpha 90.00
_cell_angle_beta 107.55
_cell_angle_gamma 90.00
_symmetry_space_group_name_H-M 'P 1 2/m 1'
_symmetry_Int_Tables_number 10
loop_
_symmetry_equiv_pos_as_xyz
'x,y,z'
'-x,-y,-z'
'-x,y,-z'
'x,-y,z'
loop_
_atom_site_label
_atom_site_fract_x
_atom_site_fract_y
_atom_site_fract_z
Nd1 0.231 0.000 0.201
Nd2 0.238 0.500 0.792
Ga1 0.500 0.000 0.000
Rh1 0.000 0.500 0.000
Br1 0.000 0.000 0.500
Br2 0.500 0.500 0.500

---

# Tm3Mg9Pd2 PBE relaxed
# ΔE_f in meV/atom: -229.8
data_Tm3Mg9Pd2
_cell_length_a 4.891
_cell_length_b 10.855
_cell_length_c 11.954
_cell_angle_alpha 90.00
_cell_angle_beta 90.00
_cell_angle_gamma 90.00
_symmetry_space_group_name_H-M 'I m m m'
_symmetry_Int_Tables_number 71
_symmetry_space_group_name_Hall '-I 2 2'
loop_
_atom_site_label
_atom_site_fract_x
_atom_site_fract_y
_atom_site_fract_z
Tm1 0.000 0.000 0.000
Tm2 0.000 0.000 0.298
Mg1 0.000 0.277 0.132
Mg2 0.000 0.365 0.369
Mg3 0.000 0.500 0.000
Pd1 0.000 0.149 0.500

---

# TbRuPbO6 PBE relaxed
# ΔE_f (raw) in meV/atom: -1520.8
data_TbRuPbO6
_cell_length_a 5.5780
_cell_length_b 5.5780
_cell_length_c 4.8767
_cell_angle_alpha 90.00
_cell_angle_beta 90.00
_cell_angle_gamma 120.00
_symmetry_space_group_name_H-M 'P 3 1 2'
_symmetry_Int_Tables_number 149
loop_
_symmetry_equiv_pos_as_xyz
'x,y,z'
'-y,x-y,z'
'-x+y,-x,z'
'-y,-x,-z'
'-x+y,y,-z'
'x,x-y,-z'
loop_
_atom_site_label
_atom_site_fract_x
_atom_site_fract_y
_atom_site_fract_z
Tb1 0.0000 0.0000 0.0000
Ru1 0.6667 0.3333 0.0000
Pb1 0.3333 0.6667 0.5000
O1 0.3754 0.0544 0.7742

---

# Pd5Pt2Au2 PBE relaxed
# ΔE_f in meV/atom: -11.1
# Energy above the lowest structure with this stoichiometry in meV/atom: 0
data_Pd5Pt2Au2
_cell_length_a 4.886
_cell_length_b 4.905
_cell_length_c 6.339
_cell_angle_alpha 74.81
_cell_angle_beta 82.88
_cell_angle_gamma 79.99
_symmetry_space_group_name_H-M 'P -1'
_symmetry_Int_Tables_number 2
loop_
_symmetry_equiv_pos_as_xyz
'x,y,z'
'-x,-y,-z'
loop_
_atom_site_label
_atom_site_fract_x
_atom_site_fract_y
_atom_site_fract_z
Pd1 0.000 0.000 0.000
Pd2 0.112 0.551 0.775
Pd3 0.220 0.112 0.556
Pt1 0.330 0.666 0.341
Au1 0.443 0.222 0.113

---

| no. | electronic total energy (eV per atom) |
| --- | --- |
| 1 | -4.2953 |
| 2 | -6.0064 |
| 3 | -6.8535 |
| 4 | -7.0972 |
| 5 | -5.0433 |
| 6 | -2.9550 |
| 7 | -6.7835 |
| 8 | -4.9667 |